## InNi2SnO6 (PBE with a Hubbard U)

Data for a relaxed structure of InNi2SnO6.

Results
Total DFT energy (no corrections) in eV per atom: -5.420

a = 5.603 Å, b = 5.603 Å, c = 5.603 Å
α = 56.21°, β = 56.21°, γ = 56.21°
Fractional positions:
In  0.000  0.000  0.000
Ni  0.288  0.288  0.288
Ni  0.791  0.791  0.791
Sn  0.493  0.493  0.493
O  0.079  0.666  0.418
O  0.182  0.574  0.899
O  0.418  0.079  0.666
O  0.574  0.899  0.182
O  0.666  0.418  0.079
O  0.899  0.182  0.574